RbAs2SeO | PBE | relaxed

Results
Total magnetization (Bohr magnetons per cell): 0.00
Theoretical density (kg/m3): 5083
Formation energy (no corrections) (kJ per mole of atoms): -1.95
Space-group type: No. 123
E_tot (eV per atom): -3.7621
Excess energy over the best structure of this formula in the dataset (meV per atom): 0.0
DOS at the Fermi energy (states/eV per cell): 3.379

Cell lengths 4.4508, 5.4467, 4.4508 Å; angles 90.00, 90.00, 90.00 degrees
Fractional coordinates of all 5 atoms:
O (0.0000, 0.0000, 0.0000)
As (0.0000, 0.0000, 0.5000)
As (0.5000, 0.0000, 0.0000)
Se (0.5000, 0.5000, 0.5000)
Rb (0.0000, 0.5000, 0.0000)